! NaLu2Pb (PBE-GGA, relaxed); values from VASP
&SYSTEM
  ibrav = 0, nat = 4, ntyp = 3
/
ATOMIC_SPECIES
Na 22.99 Na.upf
Lu 174.97 Lu.upf
Pb 207.20 Pb.upf
ATOMIC_POSITIONS angstrom
Na 0.000 0.000 0.000
Lu 0.000 2.443 2.266
Lu 2.443 0.000 2.266
Pb 2.443 2.443 0.000
CELL_PARAMETERS angstrom
4.886 0.000 0.000
0.000 4.886 0.000
0.000 0.000 4.532
! Electronic total energy: -3.611 eV per atom
! DFT formation energy: -0.093 eV per atom
! Spin magnetization: 0.078 μB/atom

---

! NaLuPb2 (PBE-GGA, relaxed); values from VASP
&SYSTEM
  ibrav = 0, nat = 12, ntyp = 3
/
ATOMIC_SPECIES
Na 22.99 Na.upf
Lu 174.97 Lu.upf
Pb 207.20 Pb.upf
ATOMIC_POSITIONS angstrom
Na 0.000 0.000 0.000
Na 0.000 2.100 20.535
Na 1.819 1.050 10.267
Lu 0.000 0.000 15.401
Lu 0.000 2.100 5.134
Lu 1.819 1.050 25.668
Pb 0.000 0.000 7.656
Pb 0.000 0.000 23.146
Pb 0.000 2.100 12.879
Pb 0.000 2.100 28.190
Pb 1.819 1.050 2.612
Pb 1.819 1.050 17.923
CELL_PARAMETERS angstrom
3.637 0.000 0.000
-1.819 3.150 0.000
0.000 0.000 30.802
! Electronic total energy: -3.527 eV per atom
! DFT formation energy: -0.212 eV per atom
! Spin magnetization: 0.000 μB/atom

---

! NaLuPb2 (PBE-GGA, relaxed); values from VASP
&SYSTEM
  ibrav = 0, nat = 4, ntyp = 3
/
ATOMIC_SPECIES
Na 22.99 Na.upf
Lu 174.97 Lu.upf
Pb 207.20 Pb.upf
ATOMIC_POSITIONS angstrom
Na 0.000 0.000 0.000
Lu 0.000 0.000 3.902
Pb 1.915 1.915 2.043
Pb 1.915 1.915 5.760
CELL_PARAMETERS angstrom
3.831 0.000 0.000
0.000 3.831 0.000
0.000 0.000 7.803
! Electronic total energy: -3.559 eV per atom
! DFT formation energy: -0.245 eV per atom
! Spin magnetization: 0.000 μB/atom

---

! NaLuPb2 (PBE-GGA, relaxed); values from VASP
&SYSTEM
  ibrav = 0, nat = 4, ntyp = 3
/
ATOMIC_SPECIES
Na 22.99 Na.upf
Lu 174.97 Lu.upf
Pb 207.20 Pb.upf
ATOMIC_POSITIONS angstrom
Na 0.000 0.000 0.000
Lu 2.464 2.464 0.000
Pb 0.000 2.464 2.223
Pb 2.464 0.000 2.223
CELL_PARAMETERS angstrom
4.928 0.000 0.000
0.000 4.928 0.000
0.000 0.000 4.445
! Electronic total energy: -3.557 eV per atom
! DFT formation energy: -0.243 eV per atom
! Spin magnetization: 0.000 μB/atom